Below is a relaxed AcGdCdPd crystal, with properties calculated at the PBE level.

Values from the calculation:
D(E_F) = 16.558 states/eV/cell
Total energy = -6.526 eV/atom
Total magnetization = 28.67 μB per cell
Density = 9.0 g/cm3
Energy of formation = -0.451 eV/atom

The structure in CIF format:
```
data_AcGdCdPd
_chemical_formula_sum 'Ac4 Gd4 Cd4 Pd4'
_cell_length_a 7.621
_cell_length_b 7.621
_cell_length_c 7.621
_cell_angle_alpha 90.00
_cell_angle_beta 90.00
_cell_angle_gamma 90.00
_symmetry_space_group_name_H-M 'P 1'
_symmetry_Int_Tables_number 1
_symmetry_space_group_name_Hall 'P 1'
loop_
_atom_site_label
_atom_site_type_symbol
_atom_site_fract_x
_atom_site_fract_y
_atom_site_fract_z
Ac1 Ac 0.000 0.000 0.000
Ac2 Ac 0.000 0.500 0.500
Ac3 Ac 0.500 0.000 0.500
Ac4 Ac 0.500 0.500 0.000
Gd1 Gd 0.000 0.000 0.500
Gd2 Gd 0.000 0.500 0.000
Gd3 Gd 0.500 0.000 0.000
Gd4 Gd 0.500 0.500 0.500
Cd1 Cd 0.250 0.250 0.750
Cd2 Cd 0.250 0.750 0.250
Cd3 Cd 0.750 0.250 0.250
Cd4 Cd 0.750 0.750 0.750
Pd1 Pd 0.250 0.250 0.250
Pd2 Pd 0.250 0.750 0.750
Pd3 Pd 0.750 0.250 0.750
Pd4 Pd 0.750 0.750 0.250
```